[1]
This record from the Alexandria database describes an optimized crystal structure of SbAsW3. The functional is GGA-PBEsol.

```
SbAsW3
1.0
4.8561 0.0000 0.0000
0.0000 4.8561 0.0000
0.0000 0.0000 4.8561
Sb As W
1 1 3
direct
0.0000 0.0000 0.0000
0.5000 0.5000 0.5000
0.0000 0.0000 0.5000
0.0000 0.5000 0.0000
0.5000 0.0000 0.0000
```

Computed properties:
Formation energy without anion corrections, eV per atom: 2.78
Mass density, Mg/m³: 10.85
Magnetic moment, μB per atom: 0.000
DOS at the Fermi energy, states/eV/atom: 1.058
Symmetry: No. 221

***

[2]
This record from the Alexandria database describes an optimized crystal structure of CdPRu2. The functional is GGA-PBEsol.

```
CdPRu2
1.0
2.8114 0.0000 0.0000
0.0000 3.5034 0.0000
0.0000 0.0000 6.1840
Cd P Ru
1 1 2
direct
0.0000 0.0000 0.0000
0.5000 0.5000 0.3456
0.0000 0.0000 0.4719
0.5000 0.5000 0.7240
```

Computed properties:
ΔE_f, eV per atom: 0.114
Mass density, Mg/m³: 9.42
Magnetic moment, μB per atom: 0.000
DOS at the Fermi energy, states/eV/atom: 0.766
Symmetry: No. 25

***

[3]
This record from the Alexandria database describes an optimized crystal structure of BeIn2AsP. The functional is GGA-PBEsol.

```
BeIn2AsP
1.0
5.1248 0.0000 0.0000
0.0000 5.1248 0.0000
0.0000 0.0000 4.7128
Be In As P
1 2 1 1
direct
0.0000 0.0000 0.0000
0.0000 0.5000 0.5000
0.5000 0.0000 0.5000
0.5000 0.5000 0.0000
0.5000 0.5000 0.5000
```

Computed properties:
ΔE_f, eV per atom: 0.887
Mass density, Mg/m³: 4.62
Magnetic moment, μB per atom: 0.000
DOS at the Fermi energy, states/eV/atom: 0.582
Symmetry: No. 123

***

What is the formula in the second record?
CdPRu2